This record from the Alexandria database describes a relaxed structure of AlAsS. The functional is GGA-PBE.

Structure (CIF):
```
data_AlAsS
_space_group_name_H-M_alt 'P -1'
_space_group_IT_number 2
_cell_length_a 3.414
_cell_length_b 3.415
_cell_length_c 15.144
_cell_angle_alpha 88.83
_cell_angle_beta 89.20
_cell_angle_gamma 60.03
loop_
_space_group_symop_operation_xyz
'x,y,z'
'-x,-y,-z'
loop_
_atom_site_label
_atom_site_type_symbol
_atom_site_fract_x
_atom_site_fract_y
_atom_site_fract_z
Al1 Al 0.002 0.007 0.414
As1 As 0.002 0.007 0.922
S1 S 0.337 0.347 0.338
```

Calculated values
Crystal system ... triclinic
Fermi-level density of states ... 0.1817 states/eV/atom
VASP energy ... -27.01 eV per cell
ρ ... 2.91 g cm⁻³

This record from the Alexandria database describes a relaxed structure of AlAsS4. The functional is GGA-PBE.

Structure (CIF):
```
data_AlAsS4
_space_group_name_H-M_alt 'I -4'
_space_group_IT_number 82
_cell_length_a 5.800
_cell_length_b 5.800
_cell_length_c 9.003
_cell_angle_alpha 90.00
_cell_angle_beta 90.00
_cell_angle_gamma 90.00
loop_
_space_group_symop_operation_xyz
'x,y,z'
'y,-x,-z'
'-x,-y,z'
'-y,x,-z'
'x+1/2,y+1/2,z+1/2'
'y+1/2,-x+1/2,-z+1/2'
'-x+1/2,-y+1/2,z+1/2'
'-y+1/2,x+1/2,-z+1/2'
loop_
_atom_site_label
_atom_site_type_symbol
_atom_site_fract_x
_atom_site_fract_y
_atom_site_fract_z
Al1 Al 0.000 0.000 0.000
As1 As 0.000 0.500 0.250
S1 S 0.222 0.735 0.121
```

Calculated values
Crystal system ... tetragonal
Fermi-level density of states ... 0.0000 states/eV/atom
VASP energy ... -54.65 eV per cell
ρ ... 2.52 g cm⁻³

This record from the Alexandria database describes a relaxed structure of AlAsS2. The functional is GGA-PBE.

Structure (CIF):
```
data_AlAsS2
_space_group_name_H-M_alt 'I -4 2 d'
_space_group_IT_number 122
_space_group_name_Hall 'I -4 2bw'
_cell_length_a 6.599
_cell_length_b 6.599
_cell_length_c 7.154
_cell_angle_alpha 90.00
_cell_angle_beta 90.00
_cell_angle_gamma 90.00
loop_
_atom_site_label
_atom_site_type_symbol
_atom_site_fract_x
_atom_site_fract_y
_atom_site_fract_z
Al1 Al 0.000 0.000 0.000
As1 As 0.000 0.000 0.500
S1 S 0.212 0.750 0.125
```

Calculated values
Crystal system ... tetragonal
Fermi-level density of states ... 0.2620 states/eV/atom
ΔE to the lowest computed polymorph ... 357 meV per atom
ρ ... 3.54 g cm⁻³

This record from the Alexandria database describes a relaxed structure of AlAs3S. The functional is GGA-PBE.

Structure (CIF):
```
data_AlAs3S
_space_group_name_H-M_alt 'P m -3 m'
_space_group_IT_number 221
_space_group_name_Hall '-P 4 2 3'
_cell_length_a 4.799
_cell_length_b 4.799
_cell_length_c 4.799
_cell_angle_alpha 90.00
_cell_angle_beta 90.00
_cell_angle_gamma 90.00
loop_
_atom_site_label
_atom_site_type_symbol
_atom_site_fract_x
_atom_site_fract_y
_atom_site_fract_z
Al1 Al 0.000 0.000 0.000
As1 As 0.000 0.500 0.500
S1 S 0.500 0.500 0.500
```

Calculated values
Crystal system ... cubic
Fermi-level density of states ... 0.8054 states/eV/atom
ΔE to the lowest computed polymorph ... 0 meV per atom
ρ ... 4.26 g cm⁻³